## MgCdAg (PBE)

Data for an optimized crystal structure of MgCdAg.

magnetization = 0.0 μB per cell
total energy = -5.83 eV/f.u.
crystal system = tetragonal
DFT formation energy = -0.15 eV per atom
distance to the lowest polymorph of the same formula = 0.000 eV per atom

abc: 3.5514 3.5514 9.3146
angles: 90.00 90.00 90.00
Last column: nearest neighbours and their distance in Å.
Space group I4mm (No. 107)
Inequivalent atoms, fractional coordinates:
Mg1 0.0000 0.0000 0.0000 (multiplicity 2)  5 Ag 2.89-3.23, 5 Cd 2.99-3.03
Cd1 0.0000 0.0000 0.3252 (multiplicity 2)  5 Ag 2.98-3.06, 5 Mg 2.99-3.03
Ag1 0.0000 0.0000 0.6534 (multiplicity 2)  5 Mg 2.89-3.23, 5 Cd 2.98-3.06



## ScB (PBE)

Data for an optimized crystal structure of ScB.

magnetization = 0.0 μB per cell
total energy = -11.81 eV/f.u.
crystal system = hexagonal
DFT formation energy = 0.60 eV per atom

abc: 4.1797 4.1797 4.8782
angles: 90.00 90.00 120.00
Last column: nearest neighbours and their distance in Å.
Space group P6_3/mmc (No. 194)
Inequivalent atoms, fractional coordinates:
Sc1 0.3333 0.6667 0.2500 (multiplicity 2)  5 B 2.41-2.44
B1 0.3333 0.6667 0.7500 (multiplicity 2)  5 Sc 2.41-2.44



## SmReF (PBE)

Data for an optimized crystal structure of SmReF.

magnetization = 0.0 μB per cell
total energy = -23.67 eV/f.u.
uncorrected formation energy = -1.545 eV/atom
crystal system = tetragonal

abc: 3.2278 3.2278 9.6454
angles: 90.00 90.00 90.00
Last column: nearest neighbours and their distance in Å.
Space group P4/nmm (No. 129, origin choice 2)
Inequivalent atoms, fractional coordinates:
Sm1 0.2500 0.2500 0.1974 (multiplicity 2)  5 F 2.58-2.59
Re1 0.2500 0.2500 0.5645 (multiplicity 2)  4 Re 2.60
F1 0.2500 0.2500 0.9297 (multiplicity 2)  5 Sm 2.58-2.59, 4 F 2.66



## KCu2AsCl8 (PBE)

Data for an optimized crystal structure of KCu2AsCl8.

magnetization = 6.4 μB per cell
total energy = -36.59 eV/f.u.
uncorrected formation energy = -0.656 eV/atom
crystal system = trigonal

abc: 6.2437 6.2437 28.9098
angles: 90.00 90.00 120.00
Last column: nearest neighbours and their distance in Å.
Space group R32 (No. 155, hexagonal axes)
Inequivalent atoms, fractional coordinates:
K1 0.0000 0.0000 0.0000 (multiplicity 3)  12 Cl 3.63-3.80
Cu1 0.0000 0.0000 0.2437 (multiplicity 6)  4 Cl 2.20-2.28
As1 0.0000 0.0000 0.5000 (multiplicity 3)  6 Cl 2.55
Cl1 0.0000 0.0000 0.3198 (multiplicity 6)  1 Cu 2.20
Cl2 0.0114 0.3173 0.5570 (multiplicity 18)  1 Cu 2.28, 1 As 2.55



## Nb6PbC (PBE)

Data for an optimized crystal structure of Nb6PbC.

magnetization = 0.0 μB per cell
total energy = -70.45 eV/f.u.
crystal system = triclinic
DFT formation energy = 0.36 eV per atom

abc: 5.8435 5.8937 6.0541
angles: 91.05 118.20 119.47
Last column: nearest neighbours and their distance in Å.
Space group P-1 (No. 2)
Inequivalent atoms, fractional coordinates:
Nb1 0.0912 0.0718 0.2784 (multiplicity 2)  1 C 2.19
Nb2 0.2640 0.6879 0.2797 (multiplicity 2)  1 C 2.17
Nb3 0.2836 0.4771 0.7180 (multiplicity 2)  1 C 2.19
Pb1 0.5000 0.0000 0.0000 (multiplicity 1)  6 Nb 2.82-2.83
C1 0.5000 0.5000 0.5000 (multiplicity 1)  6 Nb 2.17-2.19



## CdHgS2 (PBE)

Data for an optimized crystal structure of CdHgS2.

magnetization = 0.0 μB per cell
total energy = -8.43 eV/f.u.
uncorrected formation energy = 0.261 eV/atom
crystal system = cubic
distance to the lowest polymorph of the same formula = 0.644 eV per atom

abc: 6.8745 6.8745 6.8745
angles: 90.00 90.00 90.00
Last column: nearest neighbours and their distance in Å.
Space group Fm-3m (No. 225)
Inequivalent atoms, fractional coordinates:
Cd1 0.0000 0.0000 0.0000 (multiplicity 4)  8 S 2.98
Hg1 0.0000 0.0000 0.5000 (multiplicity 4)  8 S 2.98
S1 0.2500 0.2500 0.2500 (multiplicity 8)  4 Hg 2.98, 4 Cd 2.98